(1)
Entry from the Alexandria database: a relaxed ZnPt2Rh crystal (GGA-PBEsol).

Output
**Density of states at the Fermi level**: 7.315 states/eV per cell
**ΔH_f (0 K)**: -0.23 eV per atom
**VASP energy**: -6.143 eV/atom

The structure in POSCAR format:
```
ZnPt2Rh
1.0
8.996 0.000 0.000
0.000 2.742 0.000
-0.884 0.000 4.594
Zn Pt Rh
2 4 2
direct
0.000 0.000 0.000
0.500 0.500 0.000
0.247 0.500 0.251
0.253 0.000 0.749
0.747 0.000 0.251
0.753 0.500 0.749
0.000 0.500 0.500
0.500 0.000 0.500
```

(2)
Entry from the Alexandria database: a relaxed Hg2IrSe crystal (GGA-PBEsol).

Output
**Raw formation energy**: 0.13 eV/atom
**Density of states at the Fermi level**: 2.823 states/eV per cell
**VASP energy**: -3.567 eV/atom

The structure in POSCAR format:
```
Hg2IrSe
1.0
2.947 0.000 0.000
0.000 4.701 0.000
0.000 0.000 11.996
Hg Ir Se
4 2 2
direct
0.000 0.000 0.000
0.000 0.500 0.176
0.500 0.000 0.676
0.500 0.500 0.500
0.000 0.500 0.705
0.500 0.000 0.205
0.000 0.000 0.367
0.500 0.500 0.867
```

(3)
Entry from the Alexandria database: a relaxed NaFe2Pd2 crystal (GGA-PBEsol).

Output
**Density of states at the Fermi level**: 5.083 states/eV per cell
**ΔH_f (0 K)**: 0.42 eV per atom
**VASP energy**: -5.832 eV/atom

The structure in POSCAR format:
```
NaFe2Pd2
1.0
4.202 0.000 0.000
0.000 4.202 0.000
0.000 0.000 9.410
Na Fe Pd
2 4 4
direct
0.000 0.000 0.000
0.500 0.500 0.500
0.000 0.000 0.385
0.000 0.000 0.615
0.500 0.500 0.115
0.500 0.500 0.885
0.000 0.500 0.250
0.000 0.500 0.750
0.500 0.000 0.250
0.500 0.000 0.750
```

(4)
Entry from the Alexandria database: a relaxed SrTcW2 crystal (GGA-PBEsol).

Output
**Density of states at the Fermi level**: 7.073 states/eV per cell
**ΔH_f (0 K)**: 1.09 eV per atom
**VASP energy**: -9.086 eV/atom

The structure in POSCAR format:
```
SrTcW2
1.0
5.609 0.000 0.000
0.000 9.778 0.000
-0.826 0.000 2.566
Sr Tc W
2 2 4
direct
0.000 0.000 0.000
0.500 0.500 0.000
0.000 0.500 0.000
0.500 0.000 0.000
0.250 0.250 0.500
0.250 0.750 0.500
0.750 0.250 0.500
0.750 0.750 0.500
```

(5)
Entry from the Alexandria database: a relaxed BeCo4Mo crystal (GGA-PBEsol).

Output
**Density of states at the Fermi level**: 6.845 states/eV per cell
**ΔH_f (0 K)**: 0.09 eV per atom
**VASP energy**: -7.696 eV/atom

The structure in POSCAR format:
```
BeCo4Mo
1.0
0.000 3.194 3.194
3.194 0.000 3.194
3.194 3.194 0.000
Be Co Mo
1 4 1
direct
0.000 0.000 0.000
0.374 0.374 0.374
0.374 0.374 0.878
0.374 0.878 0.374
0.878 0.374 0.374
0.750 0.750 0.750
```

(6)
Entry from the Alexandria database: a relaxed Zr3ScPb crystal (GGA-PBEsol).

Output
**Density of states at the Fermi level**: 9.174 states/eV per cell
**ΔH_f (0 K)**: 1.02 eV per atom
**VASP energy**: -6.554 eV/atom

The structure in POSCAR format:
```
Zr3ScPb
1.0
5.319 0.000 0.000
0.000 5.319 0.000
0.000 0.000 5.319
Zr Sc Pb
3 1 1
direct
0.000 0.000 0.500
0.000 0.500 0.000
0.500 0.000 0.000
0.500 0.500 0.500
0.000 0.000 0.000
```

(7)
Entry from the Alexandria database: a relaxed KTi3Zn crystal (GGA-PBEsol).

Output
**Density of states at the Fermi level**: 8.076 states/eV per cell
**ΔH_f (0 K)**: 1.84 eV per atom
**VASP energy**: -3.692 eV/atom

The structure in POSCAR format:
```
KTi3Zn
1.0
4.412 0.000 0.000
0.000 4.412 0.000
0.000 0.000 4.412
K Ti Zn
1 3 1
direct
0.000 0.000 0.000
0.000 0.000 0.500
0.000 0.500 0.000
0.500 0.000 0.000
0.500 0.500 0.500
```

(8)
Entry from the Alexandria database: a relaxed Y2CdNi crystal (GGA-PBEsol).

Output
**Density of states at the Fermi level**: 7.287 states/eV per cell
**ΔH_f (0 K)**: -0.22 eV per atom
**VASP energy**: -5.471 eV/atom

The structure in POSCAR format:
```
Y2CdNi
1.0
3.363 0.000 0.000
0.000 4.857 0.000
0.000 0.000 10.719
Y Cd Ni
4 2 2
direct
0.000 0.000 0.000
0.000 0.500 0.201
0.500 0.000 0.701
0.500 0.500 0.500
0.000 0.500 0.796
0.500 0.000 0.296
0.000 0.000 0.494
0.500 0.500 0.994
```

(9)
Entry from the Alexandria database: a relaxed Zr2OsRu crystal (GGA-PBEsol).

Output
**Density of states at the Fermi level**: 0.970 states/eV per cell
**ΔH_f (0 K)**: -0.59 eV per atom
**VASP energy**: -10.733 eV/atom

The structure in POSCAR format:
```
Zr2OsRu
1.0
3.236 0.000 0.000
0.000 3.236 0.000
0.000 0.000 6.473
Zr Os Ru
2 1 1
direct
0.000 0.000 0.249
0.000 0.000 0.751
0.500 0.500 0.500
0.500 0.500 0.000
```

(10)
Entry from the Alexandria database: a relaxed FeSbO4 crystal (GGA-PBEsol).

Output
**Raw formation energy**: -1.24 eV/atom
**Density of states at the Fermi level**: 2.397 states/eV per cell
**VASP energy**: -6.998 eV/atom

The structure in POSCAR format:
```
FeSbO4
1.0
3.895 0.000 0.000
0.000 3.895 0.000
0.000 0.000 9.956
Fe Sb O
2 2 8
direct
0.000 0.000 0.000
0.500 0.500 0.500
0.000 0.500 0.250
0.500 0.000 0.750
0.000 0.000 0.208
0.000 0.000 0.792
0.000 0.500 0.052
0.000 0.500 0.448
0.500 0.000 0.552
0.500 0.000 0.948
0.500 0.500 0.292
0.500 0.500 0.708
```

(11)
Entry from the Alexandria database: a relaxed Li2TaPt crystal (GGA-PBEsol).

Output
**Density of states at the Fermi level**: 5.018 states/eV per cell
**ΔH_f (0 K)**: 0.05 eV per atom
**VASP energy**: -5.808 eV/atom

The structure in POSCAR format:
```
Li2TaPt
1.0
5.079 0.000 0.000
0.000 9.116 0.000
0.000 0.000 2.672
Li Ta Pt
4 2 2
direct
0.250 0.250 0.000
0.250 0.750 0.000
0.750 0.250 0.000
0.750 0.750 0.000
0.000 0.000 0.500
0.500 0.500 0.500
0.000 0.500 0.500
0.500 0.000 0.500
```

(12)
Entry from the Alexandria database: a relaxed RbVI2O8 crystal (GGA-PBEsol).

Output
**Raw formation energy**: -1.18 eV/atom
**Density of states at the Fermi level**: 0.000 states/eV per cell
**VASP energy**: -5.860 eV/atom

The structure in POSCAR format:
```
RbVI2O8
1.0
5.234 0.000 0.000
-0.107 7.866 0.000
-0.312 -3.040 9.292
Rb V I O
2 2 4 16
direct
0.245 0.197 0.420
0.755 0.803 0.580
0.275 0.640 0.804
0.725 0.360 0.196
0.177 0.142 0.944
0.229 0.629 0.260
0.771 0.371 0.740
0.823 0.858 0.056
0.025 0.475 0.661
0.057 0.331 0.098
0.138 0.972 0.109
0.158 0.259 0.807
0.278 0.828 0.411
0.301 0.833 0.774
0.439 0.656 0.955
0.489 0.498 0.324
0.511 0.502 0.676
0.561 0.344 0.045
0.699 0.167 0.226
0.722 0.172 0.589
0.842 0.741 0.193
0.862 0.028 0.891
0.943 0.669 0.902
0.975 0.525 0.339
```